(1)
This record from the Alexandria database describes an optimized crystal structure of Ag3GeBr2F6. The functional is GGA-PBE.

The structure in extended XYZ format:
```
12
Lattice="-1.0218 0.0222 -5.0379 -0.2707 -6.4642 0.0248 -6.2228 3.5051 1.3384" Properties=species:S:1:pos:R:3 pbc="T T T"
Ag -3.7576 -1.4684 -1.8373
Ag -0.1353 -3.2321 0.0124
Ag -3.6223 1.7637 -1.8497
F -1.7027 -5.0953 -3.3444
F -1.5420 -1.2712 -3.3594
F -5.8125 2.1585 -0.3303
F -5.9733 -1.6657 -0.3152
F -1.7630 0.0681 -1.1801
F -5.7523 -3.0049 -2.4946
Br -2.7431 -3.1233 -0.1152
Br -4.7722 0.1864 -3.5594
Ge -0.5109 0.0111 -2.5189
```

## Properties
- magnetic moment (μB per cell) = 0.00
- E_form (uncorrected) (meV/atom) = -1436
- space group = No. 12
- D(E_F) (states/eV/atom) = 0.797
- total DFT energy (no corrections) (eV per atom) = -3.75
- calculated density (g/cm3) = 5.14



(2)
This record from the Alexandria database describes an optimized crystal structure of Ag2HBr2F2. The functional is GGA-PBE.

The structure in extended XYZ format:
```
7
Lattice="3.8514 0.0000 0.0000 -1.9257 4.0923 0.0541 0.0000 -0.7605 9.2592" Properties=species:S:1:pos:R:3 pbc="T T T"
F 1.9257 2.6749 5.1739
F 0.0000 0.6569 4.1393
Br 0.0000 2.9263 1.7485
Br 1.9257 0.4055 7.5647
Ag 0.0000 1.9065 6.5439
Ag 1.9257 1.4253 2.7693
H 0.0000 -0.3802 4.6296
```

## Properties
- magnetic moment (μB per cell) = 0.00
- space group = No. 12
- D(E_F) (states/eV/atom) = 0.940
- total DFT energy (no corrections) (eV per atom) = -3.16
- calculated density (g/cm3) = 4.71



(3)
This record from the Alexandria database describes an optimized crystal structure of AgHBrF. The functional is GGA-PBE.

The structure in extended XYZ format:
```
4
Lattice="3.8462 0.0000 0.0000 0.0000 3.8863 -0.9364 0.0000 -3.3957 6.8351" Properties=species:S:1:pos:R:3 pbc="T T T"
Br 1.9231 -0.5250 1.6314
Ag 0.0000 1.5057 1.5653
H 0.0000 -1.0245 5.5672
F 0.0000 -1.8711 5.1398
```

## Properties
- magnetic moment (μB per cell) = 0.00
- space group = No. 6
- total DFT energy (no corrections) (eV per atom) = -3.27
- calculated density (g/cm3) = 3.84



(4)
This record from the Alexandria database describes an optimized crystal structure of AgHg3Br2F6. The functional is GGA-PBE.

The structure in extended XYZ format:
```
12
Lattice="-4.9002 -0.0823 -2.3869 0.6463 -6.9474 -1.0873 -3.9027 2.3232 5.7672" Properties=species:S:1:pos:R:3 pbc="T T T"
F -5.5197 -4.3288 1.4470
F -4.5824 0.6148 4.0806
F -2.6370 -0.3777 0.8460
F -4.2800 -2.6368 3.5717
F -3.5742 -5.3212 -1.7876
F -3.8767 -2.0697 -1.2787
Hg -4.0783 -2.3532 1.1465
Hg -4.4015 1.1205 1.6901
Hg 0.3231 -3.4737 -0.5437
Br -6.1698 -0.7475 1.1089
Br -1.9869 -3.9590 1.1841
Ag -2.4501 -0.0411 -1.1934
```

## Properties
- magnetic moment (μB per cell) = 1.04
- E_form (uncorrected) (meV/atom) = -1048
- space group = No. 12
- D(E_F) (states/eV/atom) = 0.089
- total DFT energy (no corrections) (eV per atom) = -2.58
- calculated density (g/cm3) = 6.66



(5)
This record from the Alexandria database describes an optimized crystal structure of Ag2Hg2Br2F5. The functional is GGA-PBE.

The structure in extended XYZ format:
```
11
Lattice="4.2712 0.0000 0.0000 0.0000 4.2712 0.0000 -2.1356 -2.1356 12.8744" Properties=species:S:1:pos:R:3 pbc="T T T"
F 2.1356 0.0000 3.0611
F 0.0000 2.1356 3.0611
F 0.0000 0.0000 0.0000
F 2.1356 0.0000 9.8133
F 0.0000 2.1356 9.8133
Ag 0.0000 0.0000 8.1539
Ag 2.1356 2.1356 4.7205
Br 0.0000 0.0000 5.4845
Br 2.1356 2.1356 7.3899
Hg 0.0000 0.0000 2.2094
Hg 2.1356 2.1356 10.6650
```

## Properties
- magnetic moment (μB per cell) = 0.05
- E_form (uncorrected) (meV/atom) = -924
- space group = No. 139
- D(E_F) (states/eV/atom) = 0.699
- total DFT energy (no corrections) (eV per atom) = -2.65
- calculated density (g/cm3) = 6.16



(6)
This record from the Alexandria database describes an optimized crystal structure of Ag2IBrF. The functional is GGA-PBE.

The structure in extended XYZ format:
```
10
Lattice="3.9838 0.0000 0.0000 -1.9919 7.3217 -0.5514 0.0000 -2.4344 9.6521" Properties=species:S:1:pos:R:3 pbc="T T T"
F 1.9919 2.4787 -0.0349
F 0.0000 2.4085 9.1356
Ag 0.0000 0.1729 8.2934
Ag 1.9919 4.7144 0.8073
Ag 1.9919 1.6675 2.3356
Ag 0.0000 3.2198 6.7650
Br 0.0000 -0.1220 2.3211
Br 1.9919 5.0093 6.7795
I 1.9919 1.2434 6.2701
I 0.0000 3.6439 2.8306
```

## Properties
- magnetic moment (μB per cell) = 0.00
- E_form (uncorrected) (meV/atom) = -522
- space group = No. 12
- D(E_F) (states/eV/atom) = 0.938
- total DFT energy (no corrections) (eV per atom) = -2.68
- calculated density (g/cm3) = 5.31
- relative energy among the computed polymorphs (meV per atom) = 0.0



The lowest total DFT energy (no corrections) belongs to which entry? Ag3GeBr2F6